Density functional theory data (PBE) for a relaxed CsBaPd2Pb crystal.

Unit cell a=5.3631 b=5.3631 c=6.4554 alpha=90.00 beta=90.00 gamma=90.00
Last column: nearest neighbours and their distance in Å.
Space group P4/mmm (No. 123)
Unique sites:
Cs1 0.0000 0.0000 0.0000 x1  4 Pd 2.68
Ba1 0.0000 0.0000 0.5000 x1  2 Cs 3.23
Pd1 0.0000 0.5000 0.0000 x2  2 Cs 2.68
Pb1 0.5000 0.5000 0.5000 x1  4 Ba 3.79, 8 Pd 4.20

Values from the calculation:
Polymorph energy (0 for the lowest one) (meV/atom): 542
DFT formation energy (meV/atom): 808

---

Density functional theory data (PBE) for a relaxed Zr2TeP2 crystal.

Unit cell a=4.9392 b=4.9392 c=8.3663 alpha=90.00 beta=90.00 gamma=90.00
Last column: nearest neighbours and their distance in Å.
Space group I4/mmm (No. 139)
Unique sites:
Zr1 0.0000 0.5000 0.2500 x4  4 P 2.66
Te1 0.0000 0.0000 0.0000 x2  2 P 3.09, 8 Zr 3.24
P1 0.0000 0.0000 0.3695 x4  1 P 2.18

Values from the calculation:
Polymorph energy (0 for the lowest one) (meV/atom): 10
ΔE_f (raw) (eV per atom): -0.907